[1]
Compound: ThI2Br2
Source: Alexandria via LeMat-Bulk
Functional: GGA-PBE
Structure: optimized geometry

The structure in POSCAR format:
```
ThI2Br2
1.0
4.645 0.188 -0.179
-0.311 7.253 -0.358
0.255 0.516 7.246
Th I Br
1 2 2
direct
0.000 0.000 0.000
0.500 0.207 0.207
0.500 0.793 0.793
0.000 0.269 0.731
0.000 0.731 0.269
```

Summary:
Calculated total energy: -4.1922 eV per atom
Density of states at the Fermi level: 0.00 states/eV/atom
Formation energy from raw total energies: -1.419 eV/atom



[2]
Compound: ThIBr
Source: Alexandria via LeMat-Bulk
Functional: GGA-PBE
Structure: optimized geometry

The structure in POSCAR format:
```
ThIBr
1.0
-2.500 -2.912 -0.154
2.748 -2.062 -5.619
5.499 -4.980 4.887
Th I Br
2 2 2
direct
0.750 0.752 0.500
0.250 0.248 0.500
0.750 0.403 0.236
0.250 0.597 0.764
0.750 0.096 0.738
0.250 0.904 0.262
```

Summary:
Calculated total energy: -4.7985 eV per atom
Density of states at the Fermi level: 0.55 states/eV/atom
Relative energy among the computed polymorphs: 0.0 meV/atom
Formation energy from raw total energies: -1.251 eV/atom



[3]
Compound: ThIBr
Source: Alexandria via LeMat-Bulk
Functional: GGA-PBE
Structure: optimized geometry

The structure in POSCAR format:
```
ThIBr
1.0
3.814 -0.012 -0.365
-1.937 3.297 -0.243
0.560 0.756 17.870
Th I Br
2 2 2
direct
0.535 0.107 0.642
0.795 0.336 0.131
0.132 0.380 0.512
0.531 0.731 0.261
0.932 0.829 0.761
0.065 0.947 0.012
```

Summary:
Calculated total energy: -4.7926 eV per atom
Density of states at the Fermi level: 0.42 states/eV/atom
Relative energy among the computed polymorphs: 5.9 meV/atom
Formation energy from raw total energies: -1.245 eV/atom



[4]
Compound: ThIBr2
Source: Alexandria via LeMat-Bulk
Functional: GGA-PBE
Structure: optimized geometry

The structure in POSCAR format:
```
ThIBr2
1.0
3.728 -0.029 -0.781
-0.534 5.589 -2.759
0.171 0.433 7.936
Th I Br
1 1 2
direct
0.500 0.500 0.000
0.500 0.000 0.000
0.879 0.343 0.686
0.121 0.657 0.314
```

Summary:
Calculated total energy: -4.4214 eV per atom
Density of states at the Fermi level: 0.54 states/eV/atom
Formation energy from raw total energies: -1.343 eV/atom